{"formula": "Pr8PdRh3I4", "functional": "PBE", "state": "relaxed", "lattice": [[4.233, 2.444, 8.202], [-4.233, 2.444, 8.202], [0.000, -4.888, 8.202]], "species": ["Pr", "Pr", "Pr", "Pr", "Pr", "Pr", "Pr", "Pr", "Pd", "Rh", "Rh", "Rh", "I", "I", "I", "I"], "fractional_positions": [[0.221, 0.733, 0.733], [0.229, 0.229, 0.229], [0.267, 0.267, 0.779], [0.267, 0.779, 0.267], [0.733, 0.221, 0.733], [0.733, 0.733, 0.221], [0.771, 0.771, 0.771], [0.779, 0.267, 0.267], [0.500, 0.500, 0.500], [0.000, 0.000, 0.500], [0.000, 0.500, 0.000], [0.500, 0.000, 0.000], [0.000, 0.000, 0.000], [0.000, 0.500, 0.500], [0.500, 0.000, 0.500], [0.500, 0.500, 0.000]], "sg": "R-3m (166)", "e_form_raw_mev_per_atom": -925.2}